{
  "formula": "Ni6OsPd",
  "functional": "PBE-GGA",
  "state": "optimized geometry",
  "rho_g_cm3": 11.33,
  "magnetic_moment_mub_per_cell": 1.135,
  "ef_ev_per_atom": 0.08,
  "lattice_angstrom": [[-2.836, -2.218, 0.418], [-0.066, -0.589, -3.575], [4.504, -5.602, 0.840]],
  "species": ["Ni", "Ni", "Ni", "Ni", "Ni", "Ni", "Os", "Pd"],
  "fractional_positions": [[0.500, 0.500, 0.000], [0.500, 0.500, 0.500], [0.500, 0.000, 0.258], [0.500, 0.000, 0.742], [0.000, 0.500, 0.258], [0.000, 0.500, 0.742], [0.000, 0.000, 0.500], [0.000, 0.000, 0.000]]
}

***

{
  "formula": "NiOs3Pd",
  "functional": "PBE-GGA",
  "state": "optimized geometry",
  "rho_g_cm3": 11.83,
  "magnetic_moment_mub_per_cell": 5.276,
  "de_polymorph_ev_per_atom": 1.066,
  "ef_ev_per_atom": 3.00,
  "lattice_angstrom": [[4.691, 0.000, 0.000], [0.000, 4.691, 0.000], [0.000, 0.000, 4.691]],
  "species": ["Ni", "Os", "Os", "Os", "Pd"],
  "fractional_positions": [[0.500, 0.500, 0.500], [0.000, 0.500, 0.000], [0.000, 0.000, 0.500], [0.500, 0.000, 0.000], [0.000, 0.000, 0.000]]
}